Entry w
Compound: Zn2Ag2I
Source: Alexandria
Functional: PBE-GGA
Structure: relaxed

Computed properties:
* SG: P4/mbm
* spin magnetization: 0.00 Bohr magnetons per cell

Cell lengths 7.730, 7.730, 3.587 Å; angles 90.00, 90.00, 90.00 degrees
Positions (direct):
I  0.000  0.000  0.000
I  0.500  0.500  0.000
Zn  0.158  0.658  0.500
Zn  0.658  0.842  0.500
Zn  0.842  0.342  0.500
Zn  0.342  0.158  0.500
Ag  0.368  0.868  0.000
Ag  0.868  0.632  0.000
Ag  0.632  0.132  0.000
Ag  0.132  0.368  0.000

---

Entry x
Compound: Zn2Ag2I
Source: Alexandria
Functional: PBE-GGA
Structure: relaxed

Computed properties:
* SG: I4/mmm
* spin magnetization: 0.00 Bohr magnetons per cell

Cell lengths 4.037, 4.037, 7.264 Å; angles 73.87, 73.87, 90.00 degrees
Positions (direct):
I  0.000  0.000  0.000
Zn  0.394  0.394  0.212
Zn  0.606  0.606  0.788
Ag  0.750  0.250  0.500
Ag  0.250  0.750  0.500

---

Entry y
Compound: Zn2Ag2I
Source: Alexandria
Functional: PBE-GGA
Structure: relaxed

Computed properties:
* SG: I4/mmm
* spin magnetization: 0.00 Bohr magnetons per cell

Cell lengths 3.970, 3.970, 7.428 Å; angles 74.50, 74.50, 90.00 degrees
Positions (direct):
I  0.000  0.000  0.000
Zn  0.750  0.250  0.500
Zn  0.250  0.750  0.500
Ag  0.385  0.385  0.229
Ag  0.615  0.615  0.771

---

Stability order, top to bottom: entry y, entry x, entry w

---

Entry w
Compound: ZrAgI2
Source: Alexandria
Functional: PBE-GGA
Structure: relaxed

Computed properties:
* SG: I-42d
* spin magnetization: 5.82 Bohr magnetons per cell

Cell lengths 7.339, 7.339, 7.441 Å; angles 60.45, 60.45, 90.00 degrees
Positions (direct):
I  0.629  0.125  0.250
I  0.121  0.625  0.250
I  0.375  0.371  0.750
I  0.875  0.879  0.750
Zr  0.500  0.500  0.000
Zr  0.250  0.750  0.500
Ag  0.000  0.000  0.000
Ag  0.750  0.250  0.500

---

Entry x
Compound: ZrAgI2
Source: Alexandria
Functional: PBE-GGA
Structure: relaxed

Computed properties:
* SG: Fm-3m
* spin magnetization: 1.13 Bohr magnetons per cell

Cell lengths 5.244, 5.244, 5.244 Å; angles 60.00, 60.00, 60.00 degrees
Positions (direct):
I  0.250  0.250  0.250
I  0.750  0.750  0.750
Zr  0.000  0.000  0.000
Ag  0.500  0.500  0.500

---

Stability order, top to bottom: entry x, entry w